1.
A plane-wave DFT calculation with meta-GGA SCAN was carried out for a PBEsol-optimized structure of NbZnS2.

The structure belongs to space group R-3m (No. 166, hexagonal axes); the cell edges are 3.3773, 3.3773 and 22.6354 Å and the angles 90.00°, 90.00° and 120.00°. The distinct sites, in fractional coordinates, are Nb at (0.0000, 0.0000, 0.0000), Zn at (0.0000, 0.0000, 0.5000) and S at (0.0000, 0.0000, 0.1030).

The value obtained for the raw total energy is -66.37 eV/f.u. For the uncorrected formation energy, the calculation gives -0.116 eV per atom.

2.
A plane-wave DFT calculation with meta-GGA SCAN was carried out for a PBEsol-optimized structure of TaReAg2.

The structure belongs to space group R-3m (No. 166, hexagonal axes); the cell edges are 2.7644, 2.7644 and 29.1251 Å and the angles 90.00°, 90.00° and 120.00°. The distinct sites, in fractional coordinates, are Ta at (0.0000, 0.0000, 0.0000), Re at (0.0000, 0.0000, 0.5000) and Ag at (0.0000, 0.0000, 0.2484).

The value obtained for the raw total energy is -198.45 eV/f.u. The value obtained for the relative energy among the computed polymorphs is 0.221 eV per atom. The formation enthalpy at 0 K comes out at 0.49 eV/atom.

3.
A plane-wave DFT calculation with meta-GGA SCAN was carried out for a PBEsol-optimized structure of KFeSi2.

The structure belongs to space group Fm-3m (No. 225); the cell edges are 6.278, 6.278 and 6.278 Å and the angles 90.00°, 90.00° and 90.00°. The distinct sites, in fractional coordinates, are K at (0.000, 0.000, 0.000), Fe at (0.000, 0.000, 0.500) and Si at (0.250, 0.250, 0.250).

The value obtained for the raw total energy is -42.60 eV/f.u. The value obtained for the relative energy among the computed polymorphs is 0.884 eV per atom. For the uncorrected formation energy, the calculation gives 0.973 eV per atom.

4.
A plane-wave DFT calculation with meta-GGA SCAN was carried out for a PBEsol-optimized structure of AlCu.

The structure belongs to space group R-3m (No. 166, hexagonal axes); the cell edges are 2.7460, 2.7460 and 12.1879 Å and the angles 90.00°, 90.00° and 120.00°. The distinct sites, in fractional coordinates, are Al at (0.0000, 0.0000, 0.0000) and Cu at (0.0000, 0.0000, 0.5000).

The value obtained for the raw total energy is -23.28 eV/f.u. The formation enthalpy at 0 K comes out at -0.16 eV/atom.

5.
A plane-wave DFT calculation with meta-GGA SCAN was carried out for a PBEsol-optimized structure of KTlCd2Se.

The structure belongs to space group P4/mmm (No. 123); the cell edges are 5.300, 5.300 and 6.137 Å and the angles 90.00°, 90.00° and 90.00°. The distinct sites, in fractional coordinates, are K at (0.000, 0.000, 0.000), Tl at (0.000, 0.000, 0.500), Cd at (0.000, 0.500, 0.500) and Se at (0.500, 0.500, 0.000).

The value obtained for the raw total energy is -161.11 eV/f.u. For the uncorrected formation energy, the calculation gives 0.096 eV per atom.

6.
A plane-wave DFT calculation with meta-GGA SCAN was carried out for a PBEsol-optimized structure of MoI2NF.

The structure belongs to space group P4/mmm (No. 123); the cell edges are 5.344, 5.344 and 3.738 Å and the angles 90.00°, 90.00° and 90.00°. The distinct sites, in fractional coordinates, are Mo at (0.000, 0.000, 0.000), I at (0.000, 0.500, 0.000), N at (0.000, 0.000, 0.500) and F at (0.500, 0.500, 0.500).

The value obtained for the raw total energy is -120.83 eV/f.u. For the uncorrected formation energy, the calculation gives 0.074 eV per atom.

7.
A plane-wave DFT calculation with meta-GGA SCAN was carried out for a PBEsol-optimized structure of Na3TiNi.

The structure belongs to space group Pm-3m (No. 221); the cell edges are 5.668, 5.668 and 5.668 Å and the angles 90.00°, 90.00° and 90.00°. The distinct sites, in fractional coordinates, are Na at (0.000, 0.000, 0.500), Ti at (0.000, 0.000, 0.000) and Ni at (0.500, 0.500, 0.500).

The value obtained for the raw total energy is -36.87 eV/f.u. The formation enthalpy at 0 K comes out at 1.59 eV/atom.

8.
A plane-wave DFT calculation with meta-GGA SCAN was carried out for a PBEsol-optimized structure of BaMnTc.

The structure belongs to space group F-43m (No. 216); the cell edges are 6.585, 6.585 and 6.585 Å and the angles 90.00°, 90.00° and 90.00°. The distinct sites, in fractional coordinates, are Ba at (0.000, 0.000, 0.000), Mn at (0.250, 0.250, 0.750) and Tc at (0.250, 0.250, 0.250).

The value obtained for the raw total energy is -86.93 eV/f.u. The value obtained for the relative energy among the computed polymorphs is 0.631 eV per atom. The formation enthalpy at 0 K comes out at 1.98 eV/atom.

9.
A plane-wave DFT calculation with meta-GGA SCAN was carried out for a PBEsol-optimized structure of NaCN2.

The structure belongs to space group R-3m (No. 166, hexagonal axes); the cell edges are 3.3761, 3.3761 and 16.3115 Å and the angles 90.00°, 90.00° and 120.00°. The distinct sites, in fractional coordinates, are Na at (0.0000, 0.0000, 0.0000), C at (0.0000, 0.0000, 0.5000) and N at (0.0000, 0.0000, 0.4246).

The value obtained for the raw total energy is -33.07 eV/f.u. For the uncorrected formation energy, the calculation gives -0.044 eV per atom.

10.
A plane-wave DFT calculation with meta-GGA SCAN was carried out for a PBEsol-optimized structure of SrLiCo2.

The structure belongs to space group Amm2 (No. 38); the cell edges are 3.807, 3.984 and 10.719 Å and the angles 90.00°, 90.00° and 90.00°. The distinct sites, in fractional coordinates, are Sr at (0.000, 0.000, 0.000), Li at (0.500, 0.000, 0.725), Co at (0.000, 0.000, 0.283) and Co at (0.500, 0.000, 0.373).

The value obtained for the raw total energy is -57.53 eV/f.u. The value obtained for the relative energy among the computed polymorphs is 0.016 eV per atom. The formation enthalpy at 0 K comes out at 0.44 eV/atom.

11.
A plane-wave DFT calculation with meta-GGA SCAN was carried out for a PBEsol-optimized structure of SiAgIr.

The structure belongs to space group P3m1 (No. 156); the cell edges are 2.8471, 2.8471 and 6.2988 Å and the angles 90.00°, 90.00° and 120.00°. The distinct sites, in fractional coordinates, are Si at (0.0000, 0.0000, 0.0000), Ag at (0.3333, 0.6667, 0.6601) and Ir at (0.6667, 0.3333, 0.2795).

The value obtained for the raw total energy is -112.46 eV/f.u. The value obtained for the relative energy among the computed polymorphs is 0.113 eV per atom. For the uncorrected formation energy, the calculation gives 0.006 eV per atom.

12.
A plane-wave DFT calculation with meta-GGA SCAN was carried out for a PBEsol-optimized structure of YMnPS2.

The structure belongs to space group P4/mmm (No. 123); the cell edges are 5.074, 5.074 and 5.187 Å and the angles 90.00°, 90.00° and 90.00°. The distinct sites, in fractional coordinates, are Y at (0.000, 0.000, 0.000), Mn at (0.500, 0.500, 0.500), P at (0.000, 0.000, 0.500) and S at (0.000, 0.500, 0.000).

The value obtained for the raw total energy is -76.18 eV/f.u. For the uncorrected formation energy, the calculation gives -0.086 eV per atom.

Computed theoretical density (Mg/m³) in order:
4.96, 15.06, 4.06, 5.67, 5.27, 5.95, 1.60, 6.75, 1.95, 4.34, 12.32, 2.97